Here is MnSiI2O after structural relaxation from Alexandria. Energies are from PBE with a Hubbard U.

Results
* uncorrected energy: -4.24 eV per atom
* space-group type: P4/mmm
* polymorph energy (0 for the lowest one): 0.202 eV per atom

Cell lengths 5.7295, 5.7295, 3.7426 Å; angles 90.00, 90.00, 90.00 degrees
Last column: nearest neighbours and their distance in Å.
Positions (direct):
Mn  0.0000  0.0000  0.0000  2 O 1.87
Si  0.5000  0.5000  0.5000  8 I 3.42, 2 Si 3.74
I  0.0000  0.5000  0.0000  2 Mn 2.86
I  0.5000  0.0000  0.0000  2 Mn 2.86
O  0.0000  0.0000  0.5000  2 Mn 1.87